No. 1
The following is a DFT calculation (PBE-GGA) of a geometry-optimized Pa2PdPt6 structure.

Output
- Calculated formation energy: -801 meV/atom
- Mass density: 17.02 g/cm³
- Total magnetization: 0.00 μB/f.u.
- E_tot: -7.52 eV/atom

Cell: 9.3022 5.7089 6.6398 Å, 90.00 105.75 90.00°
Space group C2/m (No. 12)
Symmetry-distinct sites (fractional):
Pa1 0.1690 0.0000 0.3045 (multiplicity 4)
Pd1 0.0000 0.5000 0.5000 (multiplicity 2)
Pt1 0.0987 0.2495 0.8679 (multiplicity 8)
Pt2 0.1886 0.5000 0.2593 (multiplicity 4)

***

No. 2
The following is a DFT calculation (PBE-GGA) of a geometry-optimized PaPd2Pt3 structure.

Output
- Calculated formation energy: -625 meV/atom
- Mass density: 16.12 g/cm³
- Total magnetization: 0.00 μB/f.u.
- Excess energy over the best structure of this formula in the dataset: 22.7 meV/atom
- E_tot: -6.96 eV/atom

Cell: 5.6388 9.0170 16.6812 Å, 90.00 90.00 90.00°
Space group Fmmm (No. 69)
Symmetry-distinct sites (fractional):
Pa1 0.0000 0.0000 0.1582 (multiplicity 8)
Pd1 0.2475 0.0000 0.0000 (multiplicity 8)
Pd2 0.2500 0.2500 0.2500 (multiplicity 8)
Pt1 0.0000 0.0000 0.3282 (multiplicity 8)
Pt2 0.0000 0.2436 0.4192 (multiplicity 16)

***

No. 3
The following is a DFT calculation (PBE-GGA) of a geometry-optimized Pa3PdPt3 structure.

Output
- Calculated formation energy: -703 meV/atom
- Mass density: 14.39 g/cm³
- Total magnetization: 0.03 μB/f.u.
- E_tot: -8.10 eV/atom

Cell: 5.5269 8.1093 8.3084 Å, 61.56 77.74 86.34°
Space group P-1 (No. 2)
Symmetry-distinct sites (fractional):
Pa1 0.1494 0.3711 0.1462 (multiplicity 2)
Pa2 0.3130 0.6232 0.4127 (multiplicity 2)
Pa3 0.3224 0.9288 0.8533 (multiplicity 2)
Pd1 0.0874 0.3037 0.8313 (multiplicity 2)
Pt1 0.1882 0.9966 0.1782 (multiplicity 2)
Pt2 0.1925 0.2420 0.5209 (multiplicity 2)
Pt3 0.3869 0.6233 0.7646 (multiplicity 2)

***

No. 4
The following is a DFT calculation (PBE-GGA) of a geometry-optimized PaPdPt2 structure.

Output
- Calculated formation energy: -518 meV/atom
- Mass density: 15.19 g/cm³
- Total magnetization: 0.00 μB/f.u.
- Excess energy over the best structure of this formula in the dataset: 412.1 meV/atom
- E_tot: -7.21 eV/atom

Cell: 3.3598 21.1713 4.4716 Å, 90.00 90.00 90.00°
Space group Cmcm (No. 63)
Symmetry-distinct sites (fractional):
Pa1 0.0000 0.1452 0.2500 (multiplicity 4)
Pd1 0.0000 0.4023 0.2500 (multiplicity 4)
Pt1 0.0000 0.2757 0.2500 (multiplicity 4)
Pt2 0.0000 0.4656 0.7500 (multiplicity 4)

***

No. 5
The following is a DFT calculation (PBE-GGA) of a geometry-optimized PaPd2Pt3 structure.

Output
- Calculated formation energy: -648 meV/atom
- Mass density: 15.79 g/cm³
- Total magnetization: 0.00 μB/f.u.
- Excess energy over the best structure of this formula in the dataset: 0.0 meV/atom
- E_tot: -6.98 eV/atom

Cell: 12.9989 5.8513 5.8165 Å, 90.00 101.98 90.00°
Space group C2/c (No. 15)
Symmetry-distinct sites (fractional):
Pa1 0.0000 0.2491 0.2500 (multiplicity 4)
Pd1 0.1584 0.4962 0.0779 (multiplicity 8)
Pt1 0.0000 0.2583 0.7500 (multiplicity 4)
Pt2 0.1540 0.0011 0.0737 (multiplicity 8)

***

No. 6
The following is a DFT calculation (PBE-GGA) of a geometry-optimized PaPd3Pt6 structure.

Output
- Calculated formation energy: -363 meV/atom
- Mass density: 17.03 g/cm³
- Total magnetization: 0.00 μB/f.u.
- E_tot: -6.49 eV/atom

Cell: 8.9857 4.0950 9.1248 Å, 90.00 91.30 90.00°
Space group P2_1/m (No. 11)
Symmetry-distinct sites (fractional):
Pa1 0.0742 0.2500 0.3745 (multiplicity 2)
Pd1 0.2539 0.2500 0.9974 (multiplicity 2)
Pd2 0.3441 0.7500 0.8060 (multiplicity 2)
Pd3 0.4481 0.2500 0.6043 (multiplicity 2)
Pt1 0.0480 0.7500 0.9044 (multiplicity 2)
Pt2 0.1424 0.2500 0.7005 (multiplicity 2)
Pt3 0.1667 0.7500 0.1948 (multiplicity 2)
Pt4 0.2521 0.7500 0.5093 (multiplicity 2)
Pt5 0.3666 0.2500 0.2978 (multiplicity 2)
Pt6 0.4563 0.7500 0.0964 (multiplicity 2)

***

No. 7
The following is a DFT calculation (PBE-GGA) of a geometry-optimized PaPdPt3 structure.

Output
- Calculated formation energy: -650 meV/atom
- Mass density: 16.40 g/cm³
- Total magnetization: 0.00 μB/f.u.
- Excess energy over the best structure of this formula in the dataset: 203.8 meV/atom
- E_tot: -7.21 eV/atom

Cell: 4.2046 6.4391 6.9002 Å, 90.00 90.00 90.00°
Space group Pmmn (No. 59, origin choice 2)
Symmetry-distinct sites (fractional):
Pa1 0.2500 0.2500 0.0399 (multiplicity 2)
Pd1 0.2500 0.7500 0.2666 (multiplicity 2)
Pt1 0.2500 0.2500 0.4506 (multiplicity 2)
Pt2 0.2500 0.5395 0.7317 (multiplicity 4)

***

No. 8
The following is a DFT calculation (PBE-GGA) of a geometry-optimized PaPd2Pt structure.

Output
- Calculated formation energy: -636 meV/atom
- Mass density: 14.41 g/cm³
- Total magnetization: 0.00 μB/f.u.
- Excess energy over the best structure of this formula in the dataset: 260.0 meV/atom
- E_tot: -7.12 eV/atom

Cell: 6.6526 6.6526 6.6526 Å, 90.00 90.00 90.00°
Space group Fm-3m (No. 225)
Symmetry-distinct sites (fractional):
Pa1 0.0000 0.0000 0.0000 (multiplicity 4)
Pd1 0.2500 0.2500 0.2500 (multiplicity 8)
Pt1 0.0000 0.0000 0.5000 (multiplicity 4)

***

No. 9
The following is a DFT calculation (PBE-GGA) of a geometry-optimized Pa2Pd8Pt structure.

Output
- Calculated formation energy: -547 meV/atom
- Mass density: 12.69 g/cm³
- Total magnetization: 0.00 μB/f.u.
- E_tot: -6.60 eV/atom

Cell: 9.9606 5.5828 7.1592 Å, 90.00 97.25 90.00°
Space group C2/m (No. 12)
Symmetry-distinct sites (fractional):
Pa1 0.1817 0.0000 0.2180 (multiplicity 4)
Pd1 0.0640 0.2508 0.8322 (multiplicity 8)
Pd2 0.1369 0.5000 0.4957 (multiplicity 4)
Pd3 0.1893 0.5000 0.1362 (multiplicity 4)
Pt1 0.0000 0.0000 0.5000 (multiplicity 2)

***

No. 10
The following is a DFT calculation (PBE-GGA) of a geometry-optimized PaPd3Pt4 structure.

Output
- Calculated formation energy: -552 meV/atom
- Mass density: 16.46 g/cm³
- Total magnetization: 0.00 μB/f.u.
- E_tot: -6.71 eV/atom

Cell: 5.7231 11.5071 4.9570 Å, 90.00 124.67 90.00°
Space group C2/m (No. 12)
Symmetry-distinct sites (fractional):
Pa1 0.0000 0.0000 0.0000 (multiplicity 2)
Pd1 0.0000 0.1274 0.5000 (multiplicity 4)
Pd2 0.0000 0.5000 0.0000 (multiplicity 2)
Pt1 0.0000 0.2498 0.0000 (multiplicity 4)
Pt2 0.0000 0.3754 0.5000 (multiplicity 4)

***

No. 11
The following is a DFT calculation (PBE-GGA) of a geometry-optimized PaPd5Pt5 structure.

Output
- Calculated formation energy: -306 meV/atom
- Mass density: 15.09 g/cm³
- Total magnetization: 0.00 μB/f.u.
- Excess energy over the best structure of this formula in the dataset: 0.0 meV/atom
- E_tot: -6.28 eV/atom

Cell: 4.8736 5.6500 7.4498 Å, 80.01 77.81 74.02°
Space group P-1 (No. 2)
Symmetry-distinct sites (fractional):
Pa1 0.0000 0.0000 0.0000 (multiplicity 1)
Pd1 0.0000 0.5000 0.0000 (multiplicity 1)
Pd2 0.0141 0.8377 0.6618 (multiplicity 2)
Pd3 0.4919 0.3242 0.1713 (multiplicity 2)
Pt1 0.0100 0.3360 0.6614 (multiplicity 2)
Pt2 0.4930 0.8265 0.1785 (multiplicity 2)
Pt3 0.5000 0.5000 0.5000 (multiplicity 1)

***

No. 12
The following is a DFT calculation (PBE-GGA) of a geometry-optimized Pa2PdPt2 structure.

Output
- Calculated formation energy: -855 meV/atom
- Mass density: 14.89 g/cm³
- Total magnetization: 0.00 μB/f.u.
- Excess energy over the best structure of this formula in the dataset: 0.0 meV/atom
- E_tot: -8.11 eV/atom

Cell: 7.5986 7.5986 3.7044 Å, 90.00 90.00 90.00°
Space group P4/mbm (No. 127)
Symmetry-distinct sites (fractional):
Pa1 0.1736 0.3264 0.0000 (multiplicity 4)
Pd1 0.0000 0.0000 0.5000 (multiplicity 2)
Pt1 0.1320 0.6320 0.5000 (multiplicity 4)

***

No. 13
The following is a DFT calculation (PBE-GGA) of a geometry-optimized PaPdPt2 structure.

Output
- Calculated formation energy: -770 meV/atom
- Mass density: 16.07 g/cm³
- Total magnetization: 0.00 μB/f.u.
- Excess energy over the best structure of this formula in the dataset: 160.0 meV/atom
- E_tot: -7.46 eV/atom

Cell: 6.7005 6.7005 6.7005 Å, 90.00 90.00 90.00°
Space group Fm-3m (No. 225)
Symmetry-distinct sites (fractional):
Pa1 0.0000 0.0000 0.0000 (multiplicity 4)
Pd1 0.0000 0.0000 0.5000 (multiplicity 4)
Pt1 0.2500 0.2500 0.2500 (multiplicity 8)

***

No. 14
The following is a DFT calculation (PBE-GGA) of a geometry-optimized PaPd2Pt2 structure.

Output
- Calculated formation energy: -346 meV/atom
- Mass density: 14.33 g/cm³
- Total magnetization: 0.00 μB/f.u.
- Excess energy over the best structure of this formula in the dataset: 0.0 meV/atom
- E_tot: -6.74 eV/atom

Cell: 4.5965 4.5965 10.5657 Å, 90.00 90.00 120.00°
Space group P6_3/mmc (No. 194)
Symmetry-distinct sites (fractional):
Pa1 0.0000 0.0000 0.2500 (multiplicity 2)
Pd1 0.0000 0.0000 0.0000 (multiplicity 2)
Pd2 0.3333 0.6667 0.2500 (multiplicity 2)
Pt1 0.3333 0.6667 0.6155 (multiplicity 4)

***

No. 15
The following is a DFT calculation (PBE-GGA) of a geometry-optimized Pa2Pd9Pt structure.

Output
- Calculated formation energy: -578 meV/atom
- Mass density: 13.07 g/cm³
- Total magnetization: 0.00 μB/f.u.
- E_tot: -6.56 eV/atom

Cell: 4.1362 4.1362 11.9895 Å, 90.00 90.00 90.00°
Space group P4/mmm (No. 123)
Symmetry-distinct sites (fractional):
Pa1 0.0000 0.0000 0.1810 (multiplicity 2)
Pd1 0.0000 0.5000 0.0000 (multiplicity 2)
Pd2 0.0000 0.5000 0.3359 (multiplicity 4)
Pd3 0.5000 0.5000 0.1671 (multiplicity 2)
Pd4 0.5000 0.5000 0.5000 (multiplicity 1)
Pt1 0.0000 0.0000 0.5000 (multiplicity 1)

***

No. 16
The following is a DFT calculation (PBE-GGA) of a geometry-optimized PaPd8Pt2 structure.

Output
- Calculated formation energy: -332 meV/atom
- Mass density: 13.17 g/cm³
- Total magnetization: 0.00 μB/f.u.
- Excess energy over the best structure of this formula in the dataset: 0.0 meV/atom
- E_tot: -6.07 eV/atom

Cell: 12.8540 4.5123 7.6594 Å, 90.00 123.26 90.00°
Space group C2/m (No. 12)
Symmetry-distinct sites (fractional):
Pa1 0.0000 0.0000 0.0000 (multiplicity 2)
Pd1 0.0631 0.5000 0.2940 (multiplicity 4)
Pd2 0.0757 0.0000 0.7340 (multiplicity 4)
Pd3 0.1710 0.5000 0.0321 (multiplicity 4)
Pd4 0.1877 0.0000 0.5132 (multiplicity 4)
Pt1 0.2240 0.5000 0.7370 (multiplicity 4)

***

No. 17
The following is a DFT calculation (PBE-GGA) of a geometry-optimized PaPd5Pt structure.

Output
- Calculated formation energy: 279 meV/atom
- Mass density: 9.21 g/cm³
- Total magnetization: 0.00 μB/f.u.
- Excess energy over the best structure of this formula in the dataset: 748.0 meV/atom
- E_tot: -5.65 eV/atom

Cell: 5.4662 9.1577 6.9030 Å, 90.00 90.00 90.00°
Space group Imm2 (No. 44)
Symmetry-distinct sites (fractional):
Pa1 0.0000 0.0000 0.0000 (multiplicity 2)
Pd1 0.0000 0.0000 0.6311 (multiplicity 2)
Pd2 0.0000 0.2492 0.8178 (multiplicity 4)
Pd3 0.2455 0.5000 0.8152 (multiplicity 4)
Pt1 0.0000 0.5000 0.4438 (multiplicity 2)

***

No. 18
The following is a DFT calculation (PBE-GGA) of a geometry-optimized Pa6PdPt structure.

Output
- Calculated formation energy: -188 meV/atom
- Mass density: 15.34 g/cm³
- Total magnetization: 0.00 μB/f.u.
- E_tot: -8.71 eV/atom

Cell: 4.3888 4.3888 18.9665 Å, 90.00 90.00 90.00°
Space group I4/mmm (No. 139)
Symmetry-distinct sites (fractional):
Pa1 0.0000 0.0000 0.2503 (multiplicity 4)
Pa2 0.0000 0.5000 0.1129 (multiplicity 8)
Pd1 0.0000 0.0000 0.0000 (multiplicity 2)
Pt1 0.0000 0.0000 0.5000 (multiplicity 2)

***

No. 19
The following is a DFT calculation (PBE-GGA) of a geometry-optimized ScPaPdPt structure.

Output
- Calculated formation energy: -756 meV/atom
- Mass density: 11.83 g/cm³
- Total magnetization: 0.71 μB/f.u.
- E_tot: -7.52 eV/atom

Cell: 6.8695 6.8695 6.8695 Å, 90.00 90.00 90.00°
Space group F-43m (No. 216)
Symmetry-distinct sites (fractional):
Sc1 0.0000 0.0000 0.0000 (multiplicity 4)
Pa1 0.0000 0.0000 0.5000 (multiplicity 4)
Pd1 0.2500 0.2500 0.2500 (multiplicity 4)
Pt1 0.2500 0.2500 0.7500 (multiplicity 4)

***

No. 20
The following is a DFT calculation (PBE-GGA) of a geometry-optimized Pa2Si4PdPt3 structure.

Output
- Mass density: 12.05 g/cm³
- Total magnetization: 0.00 μB/f.u.
- Formation energy (no corrections): -932.6 meV per atom
- E_tot: -7.33 eV/atom

Cell: 4.2429 4.2429 9.6916 Å, 90.00 90.00 90.00°
Space group P-4m2 (No. 115)
Symmetry-distinct sites (fractional):
Pa1 0.0000 0.5000 0.2498 (multiplicity 2)
Si1 0.0000 0.0000 0.0000 (multiplicity 1)
Si2 0.0000 0.5000 0.6324 (multiplicity 2)
Si3 0.5000 0.5000 0.0000 (multiplicity 1)
Pd1 0.0000 0.0000 0.5000 (multiplicity 1)
Pt1 0.0000 0.5000 0.8794 (multiplicity 2)
Pt2 0.5000 0.5000 0.5000 (multiplicity 1)